Computed, not measured: crystalline In12Bi5As3 at its relaxed geometry at the PBE level of DFT.

Properties
* ΔH_f (0 K): 2.543 eV per formula unit
* crystal system: cubic
* symmetry: Ia-3d (230)
* magnetization: 0.00 μB/f.u.

Lattice parameters (Å, degrees): 15.239 15.239 15.239 109.47 109.47 109.47
Fractional positions:
In 0.909 0.073 0.645
As 0.125 0.875 0.750
Bi 0.625 0.750 0.875
In 0.073 0.909 0.145
In 0.427 0.072 0.336
As 0.125 0.250 0.875
In 0.736 0.591 0.164
In 0.164 0.091 0.736
In 0.645 0.573 0.909
In 0.091 0.927 0.355
In 0.336 0.764 0.409
In 0.573 0.645 0.409
As 0.625 0.375 0.750
As 0.250 0.625 0.875
As 0.375 0.625 0.250
In 0.764 0.336 0.909
In 0.855 0.264 0.428
In 0.927 0.836 0.572
In 0.573 0.928 0.664
In 0.428 0.764 0.855
Bi 0.375 0.250 0.125
In 0.427 0.355 0.591
In 0.072 0.645 0.736
In 0.836 0.927 0.072
Bi 0.000 0.000 0.500
Bi 0.500 0.000 0.500
In 0.145 0.409 0.073
As 0.750 0.875 0.625
In 0.264 0.855 0.928
In 0.836 0.909 0.264
Bi 0.625 0.875 0.250
As 0.875 0.750 0.125
In 0.645 0.072 0.236
In 0.855 0.591 0.927
In 0.572 0.236 0.145
In 0.236 0.572 0.645
Bi 0.000 0.500 0.000
Bi 0.750 0.125 0.875
As 0.625 0.250 0.375
In 0.591 0.736 0.664
In 0.928 0.355 0.264
In 0.336 0.572 0.427
In 0.409 0.145 0.573
In 0.927 0.091 0.855
In 0.572 0.336 0.927
As 0.375 0.750 0.625
Bi 0.000 0.000 0.000
Bi 0.000 0.500 0.500
Bi 0.125 0.375 0.250
In 0.591 0.855 0.427
In 0.264 0.409 0.836
Bi 0.125 0.750 0.375
In 0.736 0.145 0.072
Bi 0.875 0.625 0.750
As 0.250 0.125 0.375
In 0.355 0.427 0.091
In 0.091 0.164 0.236
In 0.664 0.236 0.591
In 0.164 0.073 0.928
In 0.764 0.428 0.355
As 0.875 0.125 0.250
Bi 0.875 0.250 0.625
In 0.236 0.664 0.091
In 0.428 0.664 0.073
Bi 0.375 0.125 0.750
In 0.928 0.573 0.164
Bi 0.750 0.625 0.375
In 0.409 0.264 0.336
Bi 0.500 0.500 0.500
Bi 0.500 0.500 0.000
In 0.072 0.427 0.836
Bi 0.250 0.375 0.625
Bi 0.500 0.000 0.000
As 0.750 0.375 0.125
In 0.355 0.928 0.764
Bi 0.250 0.875 0.125
In 0.145 0.736 0.572
In 0.664 0.428 0.573
In 0.909 0.836 0.764
In 0.073 0.164 0.428